VASP calculation (PBE) on an optimized crystal structure of SbTePd2.

POSCAR file:
```
SbTePd2
1.0
0.000 3.430 3.430
3.430 0.000 3.430
3.430 3.430 0.000
Sb Te Pd
1 1 2
direct
0.000 0.000 0.000 Sb
0.500 0.500 0.500 Te
0.250 0.250 0.250 Pd
0.750 0.750 0.750 Pd
```

Properties
M_tot (μB/f.u.): 0.00
Symmetry: Fm-3m (225)
Fermi-level density of states (states/eV/cell): 1.04

=====

VASP calculation (PBE) on an optimized crystal structure of Ba4O3F.

POSCAR file:
```
Ba4O3F
1.0
5.605 0.000 0.000
0.000 5.605 0.000
0.000 0.000 5.605
Ba O F
4 3 1
direct
0.000 0.000 0.000 Ba
0.000 0.500 0.500 Ba
0.500 0.000 0.500 Ba
0.500 0.500 0.000 Ba
0.000 0.000 0.500 O
0.000 0.500 0.000 O
0.500 0.000 0.000 O
0.500 0.500 0.500 F
```

Properties
M_tot (μB/f.u.): 0.00
Symmetry: Pm-3m (221)
Fermi-level density of states (states/eV/cell): 1.93

=====

| no. | VASP energy (eV/atom) |
| --- | --- |
| 1 | -4.637 |
| 2 | -5.541 |